Ho2FeSe4, optimized geometry, DFT PBE; VASP energy = -5.79 eV per atom; symmetry = Fd-3m (227)
1.0
0.0000 5.7177 5.7177
5.7177 0.0000 5.7177
5.7177 5.7177 0.0000
Fe Ho Se
2 4 8
direct
0.0000 0.0000 0.0000 Fe
0.2500 0.2500 0.2500 Fe
0.6250 0.6250 0.1250 Ho
0.6250 0.1250 0.6250 Ho
0.1250 0.6250 0.6250 Ho
0.6250 0.6250 0.6250 Ho
0.3757 0.8729 0.3757 Se
0.8729 0.3757 0.3757 Se
0.3757 0.3757 0.3757 Se
0.8743 0.8743 0.3771 Se
0.3757 0.3757 0.8729 Se
0.8743 0.3771 0.8743 Se
0.3771 0.8743 0.8743 Se
0.8743 0.8743 0.8743 Se